# 1
The following is a GGA-PBE calculation of a relaxed SrMnTlB2 crystal, from Alexandria via LeMat-Bulk.

Lattice parameters (Å, degrees): 4.272 4.272 5.245 90.00 90.00 90.00
Space group P4/mmm (No. 123)
Inequivalent atoms, fractional coordinates:
Sr: 0.000 0.000 0.000
Mn: 0.000 0.000 0.500
Tl: 0.500 0.500 0.000
B: 0.000 0.500 0.500

As for the crystal system: tetragonal. Its formation energy is 4.99 eV/f.u. The total energy comes out at -4.3157 eV/atom. Its size of the total moment is 1.7 Bohr magnetons per cell.



# 2
The following is a GGA-PBE calculation of a relaxed TaMnB crystal, from Alexandria via LeMat-Bulk.

Lattice parameters (Å, degrees): 3.108 8.846 4.895 90.00 90.00 90.00
Space group Cmcm (No. 63)
Inequivalent atoms, fractional coordinates:
Ta: 0.000 0.200 0.250
Mn: 0.000 0.500 0.000
B: 0.000 0.097 0.750

As for the crystal system: orthorhombic. The energy above the most stable polymorph in this dataset comes out at 61.3 meV/atom. Its formation energy is -1.67 eV/f.u. The total energy comes out at -9.7910 eV/atom. Its size of the total moment is 0.0 Bohr magnetons per cell.